# HfSCl (PBE, optimized geometry)
# D(E_F), states/eV/f.u.: 0.9
# Formation energy (no corrections), meV per atom: -1650.9
data_HfSCl
_symmetry_space_group_name_H-M 'P 1 21/m 1'
_symmetry_Int_Tables_number 11
_symmetry_space_group_name_Hall '-P 2yb'
_cell_length_a 3.584
_cell_length_b 5.011
_cell_length_c 8.765
_cell_angle_alpha 90.00
_cell_angle_beta 101.48
_cell_angle_gamma 90.00
loop_
_atom_site_label
_atom_site_fract_x
_atom_site_fract_y
_atom_site_fract_z
Hf1 0.204 0.250 0.405
S1 0.191 0.750 0.380
Cl1 0.400 0.750 0.808



# HfS2Cl5 (PBE, optimized geometry)
# Formation energy (no corrections), meV per atom: -1086.5
data_HfS2Cl5
_symmetry_space_group_name_H-M 'P 1'
_symmetry_Int_Tables_number 1
_symmetry_space_group_name_Hall 'P 1'
_cell_length_a 6.887
_cell_length_b 7.471
_cell_length_c 7.624
_cell_angle_alpha 71.82
_cell_angle_beta 73.57
_cell_angle_gamma 67.76
loop_
_atom_site_label
_atom_site_fract_x
_atom_site_fract_y
_atom_site_fract_z
Hf1 0.000 0.000 0.000
S1 0.168 0.508 0.444
S2 0.391 0.456 0.569
Cl1 0.066 0.078 0.246
Cl2 0.268 0.614 0.137
Cl3 0.273 0.927 0.742
Cl4 0.736 0.849 0.088
Cl5 0.810 0.319 0.851



# HfSCl (PBE, optimized geometry)
# D(E_F), states/eV/f.u.: 2.0
# Formation energy (no corrections), meV per atom: -1487.5
data_HfSCl
_symmetry_space_group_name_H-M 'P n m a'
_symmetry_Int_Tables_number 62
_symmetry_space_group_name_Hall '-P 2ac 2n'
_cell_length_a 12.583
_cell_length_b 3.549
_cell_length_c 6.114
_cell_angle_alpha 90.00
_cell_angle_beta 90.00
_cell_angle_gamma 90.00
loop_
_atom_site_label
_atom_site_fract_x
_atom_site_fract_y
_atom_site_fract_z
Hf1 0.106 0.250 0.012
S1 0.040 0.750 0.260
Cl1 0.215 0.750 0.781



# HfSCl3 (PBE, optimized geometry)
# Distance to the lowest polymorph of the same formula, meV per atom: 1321
# D(E_F), states/eV/f.u.: 7.0
# Formation energy (no corrections), meV per atom: 668.5
data_HfSCl3
_symmetry_space_group_name_H-M 'P m -3 m'
_symmetry_Int_Tables_number 221
_symmetry_space_group_name_Hall '-P 4 2 3'
_cell_length_a 4.954
_cell_length_b 4.954
_cell_length_c 4.954
_cell_angle_alpha 90.00
_cell_angle_beta 90.00
_cell_angle_gamma 90.00
loop_
_atom_site_label
_atom_site_fract_x
_atom_site_fract_y
_atom_site_fract_z
Hf1 0.000 0.000 0.000
S1 0.500 0.500 0.500
Cl1 0.000 0.500 0.500